# YRe2Pd PBE optimized geometry
# Formation energy   0.760 eV/atom
# Offset from the most stable computed form   32.38 kJ per mole of atoms
data_YRe2Pd
_chemical_formula_sum 'Y4 Re8 Pd4'
_cell_length_a 6.525
_cell_length_b 6.525
_cell_length_c 6.525
_cell_angle_alpha 90.00
_cell_angle_beta 90.00
_cell_angle_gamma 90.00
_space_group_name_H-M_alt 'F m -3 m'
_space_group_IT_number 225
_space_group_name_Hall '-F 4 2 3'
loop_
_atom_site_label
_atom_site_fract_x
_atom_site_fract_y
_atom_site_fract_z
_atom_site_occupancy
Y1 0.000 0.000 0.000 1
Re1 0.250 0.250 0.250 1
Pd1 0.000 0.000 0.500 1